No. 1
# CsBa2SnPt

A relaxed CsBa2SnPt crystal (PBE, Alexandria via LeMat-Bulk).

Output
E_form (meV per atom): -363.9
Crystal system: tetragonal
Mass density (g/cm3): 5.58

Cell lengths 6.339, 6.339, 5.337 Å; angles 90.00, 90.00, 90.00 degrees
Space group P4/mmm (No. 123)
Inequivalent atoms, fractional coordinates:
1 Cs 0.000 0.000 0.000 [1 per cell]
2 Ba 0.000 0.500 0.500 [2 per cell]
3 Sn 0.500 0.500 0.000 [1 per cell]
4 Pt 0.500 0.500 0.500 [1 per cell]



No. 2
# CsBa2SrPt

A relaxed CsBa2SrPt crystal (PBE, Alexandria via LeMat-Bulk).

Output
E_form (meV per atom): -323.9
Crystal system: tetragonal
Mass density (g/cm3): 4.39

Cell lengths 6.461, 6.461, 6.258 Å; angles 90.00, 90.00, 90.00 degrees
Space group P4/mmm (No. 123)
Inequivalent atoms, fractional coordinates:
1 Cs 0.000 0.000 0.000 [1 per cell]
2 Ba 0.000 0.500 0.500 [2 per cell]
3 Sr 0.500 0.500 0.000 [1 per cell]
4 Pt 0.500 0.500 0.500 [1 per cell]



No. 3
# CsBa2TlPt

A relaxed CsBa2TlPt crystal (PBE, Alexandria via LeMat-Bulk).

Output
E_form (meV per atom): -258.9
Crystal system: tetragonal
Mass density (g/cm3): 6.08

Cell lengths 6.327, 6.327, 5.504 Å; angles 90.00, 90.00, 90.00 degrees
Space group P4/mmm (No. 123)
Inequivalent atoms, fractional coordinates:
1 Cs 0.000 0.000 0.000 [1 per cell]
2 Ba 0.000 0.500 0.500 [2 per cell]
3 Tl 0.500 0.500 0.000 [1 per cell]
4 Pt 0.500 0.500 0.500 [1 per cell]



No. 4
# CsRb4Ba

A relaxed CsRb4Ba crystal (PBE, Alexandria via LeMat-Bulk).

Output
E_form (meV per atom): 113.4
Crystal system: cubic
Mass density (g/cm3): 1.92

Cell lengths 12.832, 12.832, 12.832 Å; angles 90.00, 90.00, 90.00 degrees
Space group F-43m (No. 216)
Inequivalent atoms, fractional coordinates:
1 Cs 0.000 0.000 0.000 [4 per cell]
2 Rb 0.124 0.124 0.376 [16 per cell]
3 Ba 0.250 0.250 0.750 [4 per cell]